First-principles (PBE-GGA) data for a relaxed BeAlHg3 crystal, as listed in Alexandria.

Unit cell a=5.287 b=5.287 c=5.287 alpha=90.00 beta=90.00 gamma=90.00
Atoms (fractional coordinates):
Be1 0.000 0.000 0.000
Al1 0.500 0.500 0.500
Hg1 0.000 0.500 0.500
Hg2 0.500 0.000 0.500
Hg3 0.500 0.500 0.000

Properties
Excess energy over the best structure of this formula in the dataset   1.716 eV/f.u.
ΔH_f (0 K)   3.52 eV/f.u.
Symmetry   Pm-3m